This record from the Alexandria database describes Sc2AlSb after structural relaxation. The functional is GGA-PBEsol.

Results
The total magnetic moment comes out at 0.0 μB per formula unit. The density of states at the Fermi level comes out at 3.12 states/eV per cell. The uncorrected formation energy is -0.45 eV/atom.

Lattice parameters (Å, degrees): 3.8360 3.8360 5.8279 90.00 90.00 90.00
Space group P4mm (No. 99)
Asymmetric unit:
Sc 0.0000 0.0000 0.0000
Sc 0.5000 0.5000 0.2733
Al 0.0000 0.0000 0.4920
Sb 0.5000 0.5000 0.7760

This record from the Alexandria database describes Cd3Pt after structural relaxation. The functional is GGA-PBEsol.

Results
The total magnetic moment comes out at 0.0 μB per formula unit. The value obtained for the energy relative to the elements is -0.18 eV/atom. The density of states at the Fermi level comes out at 1.37 states/eV per cell.

Lattice parameters (Å, degrees): 4.1598 4.1598 4.1598 90.00 90.00 90.00
Space group Pm-3m (No. 221)
Asymmetric unit:
Cd 0.0000 0.0000 0.5000
Pt 0.5000 0.5000 0.5000

This record from the Alexandria database describes TlInTe2 after structural relaxation. The functional is GGA-PBEsol.

Results
The total magnetic moment comes out at 0.0 μB per formula unit. The density of states at the Fermi level comes out at 1.91 states/eV per cell. The uncorrected formation energy is -0.13 eV/atom.

Lattice parameters (Å, degrees): 3.0802 6.1932 6.3765 90.00 90.00 90.00
Space group Pmm2 (No. 25)
Asymmetric unit:
Tl 0.0000 0.0000 0.0000
In 0.5000 0.5000 0.4987
Te 0.0000 0.0000 0.5000
Te 0.5000 0.5000 0.9985

This record from the Alexandria database describes CoRe2Mo after structural relaxation. The functional is GGA-PBEsol.

Results
The total magnetic moment comes out at 0.0 μB per formula unit. The value obtained for the energy relative to the elements is 0.10 eV/atom. The density of states at the Fermi level comes out at 7.53 states/eV per cell. Its polymorph energy (0 for the lowest one) is 63.6 meV per atom.

Lattice parameters (Å, degrees): 3.7917 3.7917 7.6150 90.00 90.00 90.00
Space group I4/mmm (No. 139)
Asymmetric unit:
Co 0.0000 0.0000 0.0000
Re 0.0000 0.5000 0.2500
Mo 0.0000 0.0000 0.5000

Number 1: DFT total energy -5.918 eV per atom. Number 2: DFT total energy -2.823 eV per atom. Number 3: DFT total energy -3.300 eV per atom. Number 4: DFT total energy -11.445 eV per atom.